A geometry-optimized CaTc2Mo2 structure. Source: the Alexandria database, functional PBE.

Structure (POSCAR):
```
CaTc2Mo2
1.0
-2.2079 2.2079 5.0841
2.2079 -2.2079 5.0841
2.2079 2.2079 -5.0841
Ca Tc Mo
1 2 2
Direct
0.0000 0.0000 0.0000 Ca
0.2500 0.7500 0.5000 Tc
0.7500 0.2500 0.5000 Tc
0.3704 0.3704 0.0000 Mo
0.6296 0.6296 0.0000 Mo
```

Output
Density of states at the Fermi level: 3.396 states/eV/f.u.
Polymorph energy (0 for the lowest one): 41 meV per atom